Entry from Alexandria via LeMat-Bulk: an optimized crystal structure of Cu2SiPd5 (GGA-PBE).

The structure in CIF format:
```
data_Cu2SiPd5
_chemical_formula_sum 'Cu4 Si2 Pd10'
_cell_length_a 7.424
_cell_length_b 7.424
_cell_length_c 7.424
_cell_angle_alpha 130.46
_cell_angle_beta 130.46
_cell_angle_gamma 72.68
_space_group_name_H-M_alt 'P 1'
_space_group_IT_number 1
loop_
_space_group_symop_operation_xyz
'x,y,z'
loop_
_atom_site_label
_atom_site_type_symbol
_atom_site_fract_x
_atom_site_fract_y
_atom_site_fract_z
Cu1 Cu 0.132 0.632 0.764
Cu2 Cu 0.368 0.132 0.500
Cu3 Cu 0.632 0.868 0.500
Cu4 Cu 0.868 0.368 0.236
Si1 Si 0.250 0.250 0.000
Si2 Si 0.750 0.750 0.000
Pd1 Pd 0.000 0.000 0.000
Pd2 Pd 0.004 0.179 0.500
Pd3 Pd 0.179 0.679 0.175
Pd4 Pd 0.321 0.496 0.500
Pd5 Pd 0.496 0.996 0.175
Pd6 Pd 0.500 0.500 0.000
Pd7 Pd 0.504 0.004 0.825
Pd8 Pd 0.679 0.504 0.500
Pd9 Pd 0.821 0.321 0.825
Pd10 Pd 0.996 0.821 0.500
```

## Properties
Formation energy without anion corrections   -1.841 eV per formula unit
Energy relative to the lowest polymorph listed for this composition   12.4 kJ per mole of atoms
Total magnetic moment   0.00 μB per atom
DFT total energy   -5.18 eV/atom
Density   9.86 g/cm3